# Ho12Sc5Cu3 | the Alexandria database | PBE-GGA | optimized geometry
data_Ho12Sc5Cu3
_cell_length_a 17.405
_cell_length_b 17.405
_cell_length_c 17.405
_cell_angle_alpha 90.00
_cell_angle_beta 90.00
_cell_angle_gamma 90.00
_symmetry_space_group_name_H-M 'I a -3 d'
_symmetry_Int_Tables_number 230
_symmetry_space_group_name_Hall '-I 4bd 2c 3'
loop_
_atom_site_label
_atom_site_type_symbol
_atom_site_fract_x
_atom_site_fract_y
_atom_site_fract_z
_atom_site_occupancy
Ho1 Ho 0.013 0.092 0.644 1
Sc1 Sc 0.000 0.000 0.000 1
Sc2 Sc 0.000 0.250 0.375 1
Cu1 Cu 0.000 0.250 0.125 1
# **Raw total energy**: -4.0664 eV/atom